Computed, not measured: crystalline Na7PO2 at its relaxed geometry at the GGA-PBE level of DFT.

Calculated values
DOS(E_F) = 0.98 states/eV per cell
crystal system = orthorhombic
space-group type = Cmmm
calculated density = 1.90 g/cm³
ΔE_f (raw) = -7.81 eV per formula unit

a b c (Å): 6.9214 6.9214 4.5156
angles (deg): 90.00 90.00 115.01
Element x y z (fractional)
Na: 0.0000 0.0000 0.0000
Na: 0.1826 0.4550 0.0000
Na: 0.2193 0.7807 0.5000
Na: 0.4550 0.1826 0.0000
Na: 0.5450 0.8174 0.0000
Na: 0.7807 0.2193 0.5000
Na: 0.8174 0.5450 0.0000
P: 0.5000 0.5000 0.5000
O: 0.1916 0.8084 0.0000
O: 0.8084 0.1916 0.0000